No. 1
# Nb2HgH

A geometry-optimized Nb2HgH structure (PBE, Alexandria via LeMat-Bulk).

CIF file:
```
data_Nb2HgH
_chemical_formula_sum 'Nb8 Hg4 H4'
_space_group_name_H-M_alt 'I 41/a m d'
_space_group_IT_number 141
_cell_length_a 5.437
_cell_length_b 5.437
_cell_length_c 9.313
_cell_angle_alpha 90.00
_cell_angle_beta 90.00
_cell_angle_gamma 90.00
loop_
_space_group_symop_operation_xyz
'x,y,z'
'-x,-y,-z'
'-y+1/4,x+3/4,z+1/4'
'y+1/4,-x+3/4,-z+1/4'
'-x+1/2,-y,z+1/2'
'x+1/2,y,-z+1/2'
'y+1/4,-x+1/4,z+3/4'
'-y+1/4,x+1/4,-z+3/4'
'x,-y,-z'
'-x,y,z'
'-y+1/4,-x+1/4,-z+3/4'
'y+1/4,x+1/4,z+3/4'
'-x+1/2,y,-z+1/2'
'x+1/2,-y,z+1/2'
'y+1/4,x+3/4,-z+1/4'
'-y+1/4,-x+3/4,z+1/4'
'x+1/2,y+1/2,z+1/2'
'-x+1/2,-y+1/2,-z+1/2'
'-y+3/4,x+1/4,z+3/4'
'y+3/4,-x+1/4,-z+3/4'
'-x,-y+1/2,z'
'x,y+1/2,-z'
'y+3/4,-x+3/4,z+1/4'
'-y+3/4,x+3/4,-z+1/4'
'x+1/2,-y+1/2,-z+1/2'
'-x+1/2,y+1/2,z+1/2'
'-y+3/4,-x+3/4,-z+1/4'
'y+3/4,x+3/4,z+1/4'
'-x,y+1/2,-z'
'x,-y+1/2,z'
'y+3/4,x+1/4,-z+3/4'
'-y+3/4,-x+1/4,z+3/4'
loop_
_atom_site_label
_atom_site_type_symbol
_atom_site_fract_x
_atom_site_fract_y
_atom_site_fract_z
Nb1 Nb 0.000 0.000 0.000
Hg1 Hg 0.000 0.250 0.375
H1 H 0.000 0.250 0.875
```

## Properties
DOS at the Fermi energy, states/eV/f.u.: 2.93
Distance to the lowest polymorph of the same formula, eV per atom: 0.328
Total energy, eV per atom: -5.499

=====

No. 2
# Mn2Ni2Ge

A geometry-optimized Mn2Ni2Ge structure (PBE, Alexandria via LeMat-Bulk).

CIF file:
```
data_Mn2Ni2Ge
_chemical_formula_sum 'Mn4 Ni4 Ge2'
_space_group_name_H-M_alt 'P 4/m b m'
_space_group_IT_number 127
_space_group_name_Hall '-P 4 2ab'
_cell_length_a 5.831
_cell_length_b 5.831
_cell_length_c 3.612
_cell_angle_alpha 90.00
_cell_angle_beta 90.00
_cell_angle_gamma 90.00
loop_
_atom_site_label
_atom_site_type_symbol
_atom_site_fract_x
_atom_site_fract_y
_atom_site_fract_z
Mn1 Mn 0.146 0.354 0.000
Ni1 Ni 0.139 0.639 0.500
Ge1 Ge 0.000 0.000 0.500
```

## Properties
DOS at the Fermi energy, states/eV/f.u.: 9.31
E_form, eV per atom: 0.308
Total energy, eV per atom: -6.595

=====

No. 3
# Ba2UMnS6

A geometry-optimized Ba2UMnS6 structure (PBE, Alexandria via LeMat-Bulk).

CIF file:
```
data_Ba2UMnS6
_chemical_formula_sum 'Ba4 U2 Mn2 S12'
_space_group_name_H-M_alt 'C 1 2/m 1'
_space_group_IT_number 12
_space_group_name_Hall '-C 2y'
_cell_length_a 11.996
_cell_length_b 6.906
_cell_length_c 6.956
_cell_angle_alpha 90.00
_cell_angle_beta 125.40
_cell_angle_gamma 90.00
loop_
_atom_site_label
_atom_site_type_symbol
_atom_site_fract_x
_atom_site_fract_y
_atom_site_fract_z
Ba1 Ba 0.249 0.000 0.249
U1 U 0.000 0.000 0.500
Mn1 Mn 0.000 0.500 0.000
S1 S 0.015 0.262 0.778
S2 S 0.237 0.500 0.267
```

## Properties
Raw formation energy, eV/atom: -1.44
DOS at the Fermi energy, states/eV/f.u.: 9.64
Total energy, eV per atom: -6.346

=====

No. 4
# LaTiHg2

A geometry-optimized LaTiHg2 structure (PBE, Alexandria via LeMat-Bulk).

CIF file:
```
data_LaTiHg2
_chemical_formula_sum 'La1 Ti1 Hg2'
_space_group_name_H-M_alt 'P 4/m m m'
_space_group_IT_number 123
_space_group_name_Hall '-P 4 2'
_cell_length_a 3.519
_cell_length_b 3.519
_cell_length_c 7.702
_cell_angle_alpha 90.00
_cell_angle_beta 90.00
_cell_angle_gamma 90.00
loop_
_atom_site_label
_atom_site_type_symbol
_atom_site_fract_x
_atom_site_fract_y
_atom_site_fract_z
La1 La 0.000 0.000 0.000
Ti1 Ti 0.000 0.000 0.500
Hg1 Hg 0.500 0.500 0.295
```

## Properties
DOS at the Fermi energy, states/eV/f.u.: 3.66
Distance to the lowest polymorph of the same formula, eV per atom: 0.000
E_form, eV per atom: -0.170
Total energy, eV per atom: -3.527

=====

No. 5
# YSiS4

A geometry-optimized YSiS4 structure (PBE, Alexandria via LeMat-Bulk).

CIF file:
```
data_YSiS4
_chemical_formula_sum 'Y4 Si4 S16'
_space_group_name_H-M_alt 'I 41/a m d'
_space_group_IT_number 141
_cell_length_a 8.907
_cell_length_b 8.907
_cell_length_c 7.362
_cell_angle_alpha 90.00
_cell_angle_beta 90.00
_cell_angle_gamma 90.00
loop_
_space_group_symop_operation_xyz
'x,y,z'
'-x,-y,-z'
'-y+1/4,x+3/4,z+1/4'
'y+1/4,-x+3/4,-z+1/4'
'-x+1/2,-y,z+1/2'
'x+1/2,y,-z+1/2'
'y+1/4,-x+1/4,z+3/4'
'-y+1/4,x+1/4,-z+3/4'
'x,-y,-z'
'-x,y,z'
'-y+1/4,-x+1/4,-z+3/4'
'y+1/4,x+1/4,z+3/4'
'-x+1/2,y,-z+1/2'
'x+1/2,-y,z+1/2'
'y+1/4,x+3/4,-z+1/4'
'-y+1/4,-x+3/4,z+1/4'
'x+1/2,y+1/2,z+1/2'
'-x+1/2,-y+1/2,-z+1/2'
'-y+3/4,x+1/4,z+3/4'
'y+3/4,-x+1/4,-z+3/4'
'-x,-y+1/2,z'
'x,y+1/2,-z'
'y+3/4,-x+3/4,z+1/4'
'-y+3/4,x+3/4,-z+1/4'
'x+1/2,-y+1/2,-z+1/2'
'-x+1/2,y+1/2,z+1/2'
'-y+3/4,-x+3/4,-z+1/4'
'y+3/4,x+3/4,z+1/4'
'-x,y+1/2,-z'
'x,-y+1/2,z'
'y+3/4,x+1/4,-z+3/4'
'-y+3/4,-x+1/4,z+3/4'
loop_
_atom_site_label
_atom_site_type_symbol
_atom_site_fract_x
_atom_site_fract_y
_atom_site_fract_z
Y1 Y 0.000 0.250 0.375
Si1 Si 0.000 0.250 0.875
S1 S 0.000 0.069 0.687
```

## Properties
Raw formation energy, eV/atom: -0.99
DOS at the Fermi energy, states/eV/f.u.: 6.96
Total energy, eV per atom: -5.723

=====

No. 6
# Ga2HgRh2

A geometry-optimized Ga2HgRh2 structure (PBE, Alexandria via LeMat-Bulk).

CIF file:
```
data_Ga2HgRh2
_chemical_formula_sum 'Ga4 Hg2 Rh4'
_space_group_name_H-M_alt 'P 4/m b m'
_space_group_IT_number 127
_space_group_name_Hall '-P 4 2ab'
_cell_length_a 7.348
_cell_length_b 7.348
_cell_length_c 2.925
_cell_angle_alpha 90.00
_cell_angle_beta 90.00
_cell_angle_gamma 90.00
loop_
_atom_site_label
_atom_site_type_symbol
_atom_site_fract_x
_atom_site_fract_y
_atom_site_fract_z
Ga1 Ga 0.139 0.361 0.000
Hg1 Hg 0.000 0.000 0.000
Rh1 Rh 0.154 0.654 0.500
```

## Properties
DOS at the Fermi energy, states/eV/f.u.: 1.85
Distance to the lowest polymorph of the same formula, eV per atom: 0.053
E_form, eV per atom: -0.365
Total energy, eV per atom: -4.577